Record 1
Density functional theory data (PBE) for an optimized crystal structure of LuB2Mo.

Calculated values
total moment: 0.00 Bohr magnetons per cell
E_form: -0.18 eV per atom
E: -7.35 eV/atom
Fermi-level density of states: 1.62 states/eV/cell

a b c (Å): 3.3412 3.3412 5.8919
angles (deg): 73.53 73.53 60.00
With the nearest neighbours (Å) after each atom.
Sites, in units of the cell vectors:
Mo 0.0000 0.0000 0.0000  6 B 2.25
Lu 0.5000 0.5000 0.5000  6 B 2.52
B 0.7359 0.7359 0.7923  3 Mo 2.25
B 0.2641 0.2641 0.2077  3 Mo 2.25



Record 2
Density functional theory data (PBE) for an optimized crystal structure of AcPm2YEr.

Calculated values
total moment: 0.00 Bohr magnetons per cell
E_form: 0.36 eV per atom
E: -4.57 eV/atom
Fermi-level density of states: 13.87 states/eV/cell

a b c (Å): 7.3517 8.5074 7.4041
angles (deg): 125.07 90.00 90.00
With the nearest neighbours (Å) after each atom.
Sites, in units of the cell vectors:
Ac 0.2500 0.7524 0.5048  1 Y 3.51, 2 Er 3.74, 4 Pm 3.93
Ac 0.7500 0.2476 0.4952  1 Y 3.51, 2 Er 3.74, 4 Pm 3.93
Pm 0.5000 0.3070 0.0000  2 Y 3.23, 1 Pm 3.28, 2 Er 3.44
Pm 0.0000 0.6930 0.0000  2 Y 3.23, 1 Pm 3.28, 2 Er 3.44
Pm 0.5000 0.6930 0.0000  2 Y 3.23, 1 Pm 3.28, 2 Er 3.44
Pm 0.0000 0.3070 0.0000  2 Y 3.23, 1 Pm 3.28, 2 Er 3.44
Y 0.2500 0.0419 0.0837  1 Er 3.16, 4 Pm 3.23, 1 Ac 3.51
Y 0.7500 0.9581 0.9163  1 Er 3.16, 4 Pm 3.23, 1 Ac 3.51
Er 0.7500 0.6975 0.3950  1 Y 3.16, 4 Pm 3.44
Er 0.2500 0.3025 0.6050  1 Y 3.16, 4 Pm 3.44



Record 3
Density functional theory data (PBE) for an optimized crystal structure of UGaBr5.

Calculated values
total moment: 4.00 Bohr magnetons per cell
E: -4.30 eV/atom
Fermi-level density of states: 5.92 states/eV/cell

a b c (Å): 7.7748 7.7748 10.9993
angles (deg): 68.95 68.95 70.58
With the nearest neighbours (Å) after each atom.
Sites, in units of the cell vectors:
U 0.0000 0.0000 0.0000  6 Br 2.72-2.89
U 0.0000 0.0000 0.5000  6 Br 2.72-2.89
Ga 0.5070 0.4930 0.7500  4 Br 2.95-3.15
Ga 0.4930 0.5070 0.2500  4 Br 2.95-3.15
Br 0.3088 0.1511 0.8646  1 U 2.72
Br 0.3531 0.7772 0.5286  1 U 2.78, 1 Ga 2.95
Br 0.1511 0.3088 0.3646  1 U 2.72
Br 0.8999 0.1001 0.7500  2 U 2.89
Br 0.2228 0.6469 0.9714  1 U 2.78, 1 Ga 2.95
Br 0.7772 0.3531 0.0286  1 U 2.78, 1 Ga 2.95
Br 0.1001 0.8999 0.2500  2 U 2.89
Br 0.8489 0.6912 0.6354  1 U 2.72
Br 0.6469 0.2228 0.4714  1 U 2.78, 1 Ga 2.95
Br 0.6912 0.8489 0.1354  1 U 2.72



Record 4
Density functional theory data (PBE) for an optimized crystal structure of Mn2GaNi6.

Calculated values
total moment: 9.99 Bohr magnetons per cell
E_form: 0.05 eV per atom
E: -6.18 eV/atom
Fermi-level density of states: 11.58 states/eV/cell

a b c (Å): 5.3698 4.9448 4.9448
angles (deg): 120.00 90.00 90.00
With the nearest neighbours (Å) after each atom.
Sites, in units of the cell vectors:
Mn 0.3523 0.6667 0.3333  9 Ni 2.66-2.89, 3 Ga 2.96
Mn 0.6477 0.3333 0.6667  9 Ni 2.66-2.89, 3 Ga 2.96
Ga 0.5000 0.0000 0.0000  6 Ni 2.32
Ni 0.8278 0.8243 0.6487  1 Ga 2.32, 4 Ni 2.34-2.38
Ni 0.8278 0.8243 0.1757  1 Ga 2.32, 4 Ni 2.34-2.38
Ni 0.1722 0.6487 0.8243  1 Ga 2.32, 4 Ni 2.34-2.38
Ni 0.8278 0.3513 0.1757  1 Ga 2.32, 4 Ni 2.34-2.38
Ni 0.1722 0.1757 0.8243  1 Ga 2.32, 4 Ni 2.34-2.38
Ni 0.1722 0.1757 0.3513  1 Ga 2.32, 4 Ni 2.34-2.38